1.
DFT (PBE-GGA) results for an optimized crystal structure of Rb2ZnGaAu.

## Properties
symmetry	P4/mmm, No. 123
calculated formation energy	0.150	eV per atom
D(E_F)	3.49	states/eV/f.u.

a = 6.5795 Å, b = 6.5795 Å, c = 4.9763 Å
α = 90.00°, β = 90.00°, γ = 90.00°
Atoms (fractional coordinates):
1 Rb 0.0000 0.5000 0.0000
2 Rb 0.5000 0.0000 0.0000
3 Zn 0.0000 0.0000 0.5000
4 Ga 0.5000 0.5000 0.5000
5 Au 0.0000 0.0000 0.0000

2.
DFT (PBE-GGA) results for an optimized crystal structure of BeTl3Sb.

## Properties
symmetry	Pm-3m, No. 221
D(E_F)	4.57	states/eV/f.u.
total DFT energy (no corrections)	-2.037	eV/atom

a = 5.9755 Å, b = 5.9755 Å, c = 5.9755 Å
α = 90.00°, β = 90.00°, γ = 90.00°
Atoms (fractional coordinates):
1 Be 0.0000 0.0000 0.0000
2 Tl 0.0000 0.5000 0.5000
3 Tl 0.5000 0.0000 0.5000
4 Tl 0.5000 0.5000 0.0000
5 Sb 0.5000 0.5000 0.5000

3.
DFT (PBE-GGA) results for an optimized crystal structure of Sr5Ca4Ac4.

## Properties
symmetry	I4/m, No. 87
calculated formation energy	0.033	eV per atom
D(E_F)	15.75	states/eV/f.u.

a = 10.7124 Å, b = 10.7124 Å, c = 10.7124 Å
α = 94.17°, β = 94.17°, γ = 148.70°
Atoms (fractional coordinates):
1 Sr 0.0000 0.0000 0.0000
2 Sr 0.3025 0.5374 0.8399
3 Sr 0.4626 0.3025 0.7651
4 Sr 0.5374 0.6975 0.2349
5 Sr 0.6975 0.4626 0.1601
6 Ca 0.1562 0.7644 0.9206
7 Ca 0.2356 0.1562 0.3918
8 Ca 0.7644 0.8438 0.6082
9 Ca 0.8438 0.2356 0.0794
10 Ac 0.0705 0.3901 0.4606
11 Ac 0.3901 0.9295 0.3197
12 Ac 0.6099 0.0705 0.6803
13 Ac 0.9295 0.6099 0.5394

4.
DFT (PBE-GGA) results for an optimized crystal structure of Ba2RuPb.

## Properties
symmetry	Cmmm, No. 65
calculated formation energy	0.337	eV per atom
D(E_F)	6.32	states/eV/f.u.

a = 7.3539 Å, b = 7.3704 Å, c = 4.7532 Å
α = 90.00°, β = 90.00°, γ = 90.00°
Atoms (fractional coordinates):
1 Ba 0.2500 0.2500 0.0000
2 Ba 0.2500 0.7500 0.0000
3 Ba 0.7500 0.2500 0.0000
4 Ba 0.7500 0.7500 0.0000
5 Ru 0.0000 0.0000 0.5000
6 Ru 0.5000 0.5000 0.5000
7 Pb 0.0000 0.5000 0.5000
8 Pb 0.5000 0.0000 0.5000

5.
DFT (PBE-GGA) results for an optimized crystal structure of Re3Os.

## Properties
symmetry	R-3m, No. 166
calculated formation energy	0.071	eV per atom
D(E_F)	3.57	states/eV/f.u.

a = 2.7568 Å, b = 2.7568 Å, c = 27.0468 Å
α = 90.00°, β = 90.00°, γ = 120.00°
Atoms (fractional coordinates):
1 Re 0.0000 0.0000 0.0000
2 Re 0.0000 0.0000 0.2497
3 Re 0.0000 0.0000 0.7503
4 Re 0.3333 0.6667 0.4170
5 Re 0.3333 0.6667 0.6667
6 Re 0.3333 0.6667 0.9163
7 Re 0.6667 0.3333 0.0837
8 Re 0.6667 0.3333 0.3333
9 Re 0.6667 0.3333 0.5830
10 Os 0.0000 0.0000 0.5000
11 Os 0.3333 0.6667 0.1667
12 Os 0.6667 0.3333 0.8333

6.
DFT (PBE-GGA) results for an optimized crystal structure of MoSe2BrN.

## Properties
symmetry	P4/mmm, No. 123
D(E_F)	3.98	states/eV/f.u.
total DFT energy (no corrections)	-4.517	eV/atom

a = 4.8751 Å, b = 4.8751 Å, c = 5.4021 Å
α = 90.00°, β = 90.00°, γ = 90.00°
Atoms (fractional coordinates):
1 Mo 0.0000 0.0000 0.0000
2 Se 0.0000 0.5000 0.0000
3 Se 0.5000 0.0000 0.0000
4 Br 0.0000 0.0000 0.5000
5 N 0.5000 0.5000 0.5000

7.
DFT (PBE-GGA) results for an optimized crystal structure of KBaPm.

## Properties
symmetry	P4/nmm, No. 129
calculated formation energy	0.120	eV per atom
D(E_F)	4.18	states/eV/f.u.

a = 4.1080 Å, b = 4.1080 Å, c = 18.8444 Å
α = 90.00°, β = 90.00°, γ = 90.00°
Atoms (fractional coordinates):
1 K 0.2500 0.2500 0.1003
2 K 0.7500 0.7500 0.8997
3 Ba 0.2500 0.2500 0.7028
4 Ba 0.7500 0.7500 0.2972
5 Pm 0.2500 0.2500 0.4454
6 Pm 0.7500 0.7500 0.5546

8.
DFT (PBE-GGA) results for an optimized crystal structure of Na3AgCl6.

## Properties
symmetry	P2_1/c, No. 14
total DFT energy (no corrections)	-2.918	eV/atom

a = 6.5127 Å, b = 6.9638 Å, c = 12.3125 Å
α = 90.00°, β = 111.57°, γ = 90.00°
Atoms (fractional coordinates):
1 Na 0.0000 0.0000 0.0000
2 Na 0.0000 0.5000 0.5000
3 Na 0.2787 0.1079 0.7565
4 Na 0.2787 0.3921 0.2565
5 Na 0.7213 0.6079 0.7435
6 Na 0.7213 0.8921 0.2435
7 Ag 0.5000 0.0000 0.5000
8 Ag 0.5000 0.5000 0.0000
9 Cl 0.1076 0.0180 0.2326
10 Cl 0.1076 0.4820 0.7326
11 Cl 0.3165 0.6902 0.0981
12 Cl 0.3165 0.8098 0.5981
13 Cl 0.3943 0.2179 0.0723
14 Cl 0.3943 0.2821 0.5723
15 Cl 0.6057 0.7179 0.4277
16 Cl 0.6057 0.7821 0.9277
17 Cl 0.6835 0.1902 0.4019
18 Cl 0.6835 0.3098 0.9019
19 Cl 0.8924 0.5180 0.2674
20 Cl 0.8924 0.9820 0.7674

9.
DFT (PBE-GGA) results for an optimized crystal structure of CeZnHg.

## Properties
symmetry	P-6m2, No. 187
calculated formation energy	-0.319	eV per atom
D(E_F)	6.11	states/eV/f.u.

a = 4.8631 Å, b = 4.8631 Å, c = 3.3616 Å
α = 90.00°, β = 90.00°, γ = 120.00°
Atoms (fractional coordinates):
1 Ce 0.0000 0.0000 0.0000
2 Zn 0.3333 0.6667 0.5000
3 Hg 0.6667 0.3333 0.5000

10.
DFT (PBE-GGA) results for an optimized crystal structure of Hf6Cu2O.

## Properties
symmetry	P2_1/c, No. 14
D(E_F)	7.01	states/eV/f.u.
total DFT energy (no corrections)	-8.706	eV/atom

a = 5.6832 Å, b = 6.2278 Å, c = 10.5305 Å
α = 90.00°, β = 120.04°, γ = 90.00°
Atoms (fractional coordinates):
1 Hf 0.1032 0.0252 0.2483
2 Hf 0.1032 0.4748 0.7483
3 Hf 0.2045 0.6803 0.0466
4 Hf 0.2045 0.8197 0.5466
5 Hf 0.3782 0.1939 0.0416
6 Hf 0.3782 0.3061 0.5416
7 Hf 0.6218 0.6939 0.4584
8 Hf 0.6218 0.8061 0.9584
9 Hf 0.7955 0.1803 0.4534
10 Hf 0.7955 0.3197 0.9534
11 Hf 0.8968 0.5252 0.2517
12 Hf 0.8968 0.9748 0.7517
13 Cu 0.3561 0.1092 0.7578
14 Cu 0.3561 0.3908 0.2578
15 Cu 0.6439 0.6092 0.7422
16 Cu 0.6439 0.8908 0.2422
17 O 0.0000 0.0000 0.0000
18 O 0.0000 0.5000 0.5000

11.
DFT (PBE-GGA) results for an optimized crystal structure of MgZrCl3.

## Properties
symmetry	Pm-3m, No. 221
D(E_F)	4.74	states/eV/f.u.
total DFT energy (no corrections)	-3.775	eV/atom

a = 4.8873 Å, b = 4.8873 Å, c = 4.8873 Å
α = 90.00°, β = 90.00°, γ = 90.00°
Atoms (fractional coordinates):
1 Mg 0.0000 0.0000 0.0000
2 Zr 0.5000 0.5000 0.5000
3 Cl 0.0000 0.0000 0.5000
4 Cl 0.0000 0.5000 0.0000
5 Cl 0.5000 0.0000 0.0000

12.
DFT (PBE-GGA) results for an optimized crystal structure of Ce2VGe6Os.

## Properties
symmetry	R-3m, No. 166
calculated formation energy	-0.356	eV per atom
D(E_F)	12.82	states/eV/f.u.

a = 12.4760 Å, b = 12.4760 Å, c = 12.4760 Å
α = 28.83°, β = 28.83°, γ = 28.83°
Atoms (fractional coordinates):
1 Ce 0.1144 0.1144 0.1144
2 Ce 0.2949 0.2949 0.2949
3 Ce 0.7051 0.7051 0.7051
4 Ce 0.8856 0.8856 0.8856
5 V 0.0000 0.0000 0.0000
6 V 0.5000 0.5000 0.5000
7 Ge 0.0643 0.6632 0.6632
8 Ge 0.2286 0.2286 0.6622
9 Ge 0.2286 0.6622 0.2286
10 Ge 0.3368 0.3368 0.9357
11 Ge 0.3368 0.9357 0.3368
12 Ge 0.3378 0.7714 0.7714
13 Ge 0.6622 0.2286 0.2286
14 Ge 0.6632 0.0642 0.6632
15 Ge 0.6632 0.6632 0.0643
16 Ge 0.7714 0.3378 0.7714
17 Ge 0.7714 0.7714 0.3378
18 Ge 0.9357 0.3368 0.3368
19 Os 0.4290 0.4290 0.4290
20 Os 0.5710 0.5710 0.5710

13.
DFT (PBE-GGA) results for an optimized crystal structure of KSrZr2.

## Properties
symmetry	Pmmm, No. 47
calculated formation energy	0.917	eV per atom
D(E_F)	7.61	states/eV/f.u.

a = 3.2322 Å, b = 6.0784 Å, c = 6.5188 Å
α = 90.00°, β = 90.00°, γ = 90.00°
Atoms (fractional coordinates):
1 K 0.0000 0.0000 0.0000
2 Sr 0.0000 0.0000 0.5000
3 Zr 0.5000 0.5000 0.2684
4 Zr 0.5000 0.5000 0.7316

14.
DFT (PBE-GGA) results for an optimized crystal structure of ZnAgOs2.

## Properties
symmetry	R-3m, No. 166
calculated formation energy	0.441	eV per atom
D(E_F)	4.17	states/eV/f.u.

a = 2.7355 Å, b = 2.7355 Å, c = 27.7833 Å
α = 90.00°, β = 90.00°, γ = 120.00°
Atoms (fractional coordinates):
1 Zn 0.0000 0.0000 0.0000
2 Zn 0.3333 0.6667 0.6667
3 Zn 0.6667 0.3333 0.3333
4 Ag 0.0000 0.0000 0.5000
5 Ag 0.3333 0.6667 0.1667
6 Ag 0.6667 0.3333 0.8333
7 Os 0.0000 0.0000 0.2550
8 Os 0.0000 0.0000 0.7450
9 Os 0.3333 0.6667 0.4117
10 Os 0.3333 0.6667 0.9216
11 Os 0.6667 0.3333 0.0784
12 Os 0.6667 0.3333 0.5883

15.
DFT (PBE-GGA) results for an optimized crystal structure of LiNdThRu.

## Properties
symmetry	F-43m, No. 216
calculated formation energy	-0.126	eV per atom
D(E_F)	4.67	states/eV/f.u.

a = 7.1881 Å, b = 7.1881 Å, c = 7.1881 Å
α = 90.00°, β = 90.00°, γ = 90.00°
Atoms (fractional coordinates):
1 Li 0.0000 0.0000 0.0000
2 Li 0.0000 0.5000 0.5000
3 Li 0.5000 0.0000 0.5000
4 Li 0.5000 0.5000 0.0000
5 Nd 0.2500 0.2500 0.7500
6 Nd 0.2500 0.7500 0.2500
7 Nd 0.7500 0.2500 0.2500
8 Nd 0.7500 0.7500 0.7500
9 Th 0.2500 0.2500 0.2500
10 Th 0.2500 0.7500 0.7500
11 Th 0.7500 0.2500 0.7500
12 Th 0.7500 0.7500 0.2500
13 Ru 0.0000 0.0000 0.5000
14 Ru 0.0000 0.5000 0.0000
15 Ru 0.5000 0.0000 0.0000
16 Ru 0.5000 0.5000 0.5000

16.
DFT (PBE-GGA) results for an optimized crystal structure of CaDy3Hg4.

## Properties
symmetry	P4/mmm, No. 123
calculated formation energy	-0.512	eV per atom
D(E_F)	4.40	states/eV/f.u.

a = 5.2627 Å, b = 5.2627 Å, c = 7.4982 Å
α = 90.00°, β = 90.00°, γ = 90.00°
Atoms (fractional coordinates):
1 Ca 0.0000 0.0000 0.0000
2 Dy 0.0000 0.0000 0.5000
3 Dy 0.5000 0.5000 0.0000
4 Dy 0.5000 0.5000 0.5000
5 Hg 0.0000 0.5000 0.2545
6 Hg 0.0000 0.5000 0.7455
7 Hg 0.5000 0.0000 0.2545
8 Hg 0.5000 0.0000 0.7455

17.
DFT (PBE-GGA) results for an optimized crystal structure of Tb2HoEr6.

## Properties
symmetry	P4_2/mnm, No. 136
calculated formation energy	0.022	eV per atom
D(E_F)	11.23	states/eV/f.u.

a = 10.5273 Å, b = 10.5273 Å, c = 4.9741 Å
α = 90.00°, β = 90.00°, γ = 90.00°
Atoms (fractional coordinates):
1 Tb 0.1665 0.1665 0.0000
2 Tb 0.3335 0.6665 0.5000
3 Tb 0.6665 0.3335 0.5000
4 Tb 0.8335 0.8335 0.0000
5 Ho 0.0000 0.0000 0.5000
6 Ho 0.5000 0.5000 0.0000
7 Er 0.0004 0.3337 0.5000
8 Er 0.9996 0.6663 0.5000
9 Er 0.1663 0.5004 0.0000
10 Er 0.1669 0.8331 0.0000
11 Er 0.3331 0.3331 0.5000
12 Er 0.3337 0.0004 0.5000
13 Er 0.5004 0.1663 0.0000
14 Er 0.4996 0.8337 0.0000
15 Er 0.6663 0.9996 0.5000
16 Er 0.6669 0.6669 0.5000
17 Er 0.8331 0.1669 0.0000
18 Er 0.8337 0.4996 0.0000

18.
DFT (PBE-GGA) results for an optimized crystal structure of Nd3Ag2Pd.

## Properties
symmetry	Cmmm, No. 65
calculated formation energy	-0.415	eV per atom
D(E_F)	5.26	states/eV/f.u.

a = 5.2475 Å, b = 15.6352 Å, c = 3.7352 Å
α = 90.00°, β = 90.00°, γ = 90.00°
Atoms (fractional coordinates):
1 Nd 0.0000 0.0000 0.0000
2 Nd 0.0000 0.3436 0.0000
3 Nd 0.0000 0.6564 0.0000
4 Nd 0.5000 0.1564 0.0000
5 Nd 0.5000 0.5000 0.0000
6 Nd 0.5000 0.8436 0.0000
7 Ag 0.0000 0.1762 0.5000
8 Ag 0.0000 0.8238 0.5000
9 Ag 0.5000 0.3238 0.5000
10 Ag 0.5000 0.6762 0.5000
11 Pd 0.0000 0.5000 0.5000
12 Pd 0.5000 0.0000 0.5000

19.
DFT (PBE-GGA) results for an optimized crystal structure of Pu5Ge2Te.

## Properties
symmetry	I4/mcm, No. 140
D(E_F)	38.08	states/eV/f.u.
total DFT energy (no corrections)	-10.960	eV/atom

a = 8.5114 Å, b = 8.5114 Å, c = 8.5114 Å
α = 123.83°, β = 123.83°, γ = 83.48°
Atoms (fractional coordinates):
1 Pu 0.0000 0.0000 0.0000
2 Pu 0.0015 0.5015 0.2118
3 Pu 0.2103 0.9985 0.5000
4 Pu 0.2897 0.7897 0.7882
5 Pu 0.4985 0.7103 0.5000
6 Pu 0.5000 0.5000 0.0000
7 Pu 0.5015 0.2897 0.5000
8 Pu 0.7103 0.2103 0.2118
9 Pu 0.7897 0.0015 0.5000
10 Pu 0.9985 0.4985 0.7882
11 Ge 0.1557 0.3443 0.5000
12 Ge 0.3443 0.8443 0.1887
13 Ge 0.6557 0.1557 0.8113
14 Ge 0.8443 0.6557 0.5000
15 Te 0.2500 0.2500 0.0000
16 Te 0.7500 0.7500 0.0000

20.
DFT (PBE-GGA) results for an optimized crystal structure of Mg8Ag6Pd.

## Properties
symmetry	R-3, No. 148
calculated formation energy	-0.157	eV per atom
D(E_F)	7.76	states/eV/f.u.

a = 7.2467 Å, b = 7.2467 Å, c = 7.2467 Å
α = 63.34°, β = 63.34°, γ = 63.34°
Atoms (fractional coordinates):
1 Mg 0.0927 0.0927 0.0927
2 Mg 0.1670 0.3386 0.6351
3 Mg 0.3386 0.6351 0.1670
4 Mg 0.3649 0.8330 0.6614
5 Mg 0.6351 0.1670 0.3386
6 Mg 0.6614 0.3649 0.8330
7 Mg 0.8330 0.6614 0.3649
8 Mg 0.9073 0.9073 0.9073
9 Ag 0.0268 0.7822 0.5403
10 Ag 0.2178 0.4597 0.9732
11 Ag 0.4597 0.9732 0.2178
12 Ag 0.5403 0.0268 0.7822
13 Ag 0.7822 0.5403 0.0268
14 Ag 0.9732 0.2178 0.4597
15 Pd 0.5000 0.5000 0.5000